# 1
! ZrSi2, relaxed, DFT PBE; values from VASP
! **Space group**: Pa-3 (205)
! **Formation energy (no corrections)**: 470 meV per atom
! **D(E_F)**: 0.805 states/eV/atom
! **Size of the total moment**: 0.0 μB/f.u.
&SYSTEM
  ibrav = 0, nat = 12, ntyp = 2
/
ATOMIC_SPECIES
Zr 91.22 Zr.upf
Si 28.09 Si.upf
CELL_PARAMETERS angstrom
6.464 0.000 0.000
0.000 6.464 0.000
0.000 0.000 6.464
ATOMIC_POSITIONS crystal
Zr 0.000 0.500 0.500
Zr 0.000 0.000 0.000
Zr 0.500 0.500 0.000
Zr 0.500 0.000 0.500
Si 0.896 0.396 0.896
Si 0.604 0.896 0.896
Si 0.104 0.604 0.104
Si 0.396 0.104 0.104
Si 0.604 0.604 0.396
Si 0.896 0.104 0.396
Si 0.396 0.396 0.604
Si 0.104 0.896 0.604

=====

# 2
! ZrSi2, relaxed, DFT PBE; values from VASP
! **Space group**: C2/m (12)
! **Formation energy (no corrections)**: -447 meV per atom
! **D(E_F)**: 0.502 states/eV/atom
! **Size of the total moment**: 0.0 μB/f.u.
&SYSTEM
  ibrav = 0, nat = 12, ntyp = 2
/
ATOMIC_SPECIES
Si 28.09 Si.upf
Zr 91.22 Zr.upf
CELL_PARAMETERS angstrom
-4.246 3.320 -4.634
-2.496 -2.457 0.527
0.021 1.964 9.256
ATOMIC_POSITIONS crystal
Si 0.580 0.000 0.674
Si 0.853 0.000 0.358
Si 0.420 0.500 0.826
Si 0.580 0.500 0.174
Si 0.147 0.000 0.642
Si 0.420 0.000 0.326
Si 0.147 0.500 0.142
Si 0.853 0.500 0.858
Zr 0.218 0.000 0.950
Zr 0.782 0.500 0.550
Zr 0.218 0.500 0.450
Zr 0.782 0.000 0.050

=====

# 3
! Sm, relaxed, DFT PBE; values from VASP
! **Space group**: P6_3/mmc (194)
! **D(E_F)**: 1.644 states/eV/atom
! **Size of the total moment**: 0.0 μB/f.u.
! **Electronic total energy**: -4.695 eV/atom
&SYSTEM
  ibrav = 0, nat = 2, ntyp = 1
/
ATOMIC_SPECIES
Sm 150.36 Sm.upf
CELL_PARAMETERS angstrom
3.678 0.000 0.000
-1.839 3.186 0.000
0.000 0.000 5.829
ATOMIC_POSITIONS crystal
Sm 0.833 0.667 0.250
Sm 0.167 0.333 0.750